VASP calculation (SCAN) on Mg30VCdO32 at its PBEsol-relaxed geometry.

Summary:
As for the space group: P4/mmm, No. 123. The value obtained for the formation energy (no corrections) is -2.918 eV/atom.

Geometry as POSCAR:
```
Mg30VCdO32
1.0
8.481 0.000 0.000
0.000 8.482 0.000
0.000 0.000 8.482
Mg V Cd O
30 1 1 32
direct
0.000 0.500 0.000 Mg
0.000 0.000 0.500 Mg
0.500 0.000 0.000 Mg
0.500 0.500 0.000 Mg
0.500 0.000 0.500 Mg
0.500 0.500 0.500 Mg
0.000 0.248 0.248 Mg
0.000 0.752 0.248 Mg
0.000 0.248 0.752 Mg
0.000 0.752 0.752 Mg
0.500 0.250 0.250 Mg
0.500 0.750 0.250 Mg
0.500 0.250 0.750 Mg
0.500 0.750 0.750 Mg
0.250 0.250 0.000 Mg
0.250 0.750 0.000 Mg
0.252 0.248 0.500 Mg
0.252 0.752 0.500 Mg
0.750 0.250 0.000 Mg
0.750 0.750 0.000 Mg
0.748 0.248 0.500 Mg
0.748 0.752 0.500 Mg
0.250 0.000 0.250 Mg
0.252 0.500 0.248 Mg
0.250 0.000 0.750 Mg
0.252 0.500 0.752 Mg
0.750 0.000 0.250 Mg
0.748 0.500 0.248 Mg
0.750 0.000 0.750 Mg
0.748 0.500 0.752 Mg
0.000 0.000 0.000 V
0.000 0.500 0.500 Cd
0.253 0.000 0.000 O
0.252 0.500 0.000 O
0.252 0.000 0.500 O
0.264 0.500 0.500 O
0.747 0.000 0.000 O
0.748 0.500 0.000 O
0.748 0.000 0.500 O
0.736 0.500 0.500 O
0.250 0.250 0.250 O
0.250 0.750 0.250 O
0.250 0.250 0.750 O
0.250 0.750 0.750 O
0.750 0.250 0.250 O
0.750 0.750 0.250 O
0.750 0.250 0.750 O
0.750 0.750 0.750 O
0.000 0.251 0.000 O
0.000 0.749 0.000 O
0.000 0.237 0.500 O
0.000 0.763 0.500 O
0.500 0.250 0.000 O
0.500 0.750 0.000 O
0.500 0.248 0.500 O
0.500 0.752 0.500 O
0.000 0.000 0.251 O
0.000 0.500 0.237 O
0.000 0.000 0.749 O
0.000 0.500 0.763 O
0.500 0.000 0.250 O
0.500 0.500 0.248 O
0.500 0.000 0.750 O
0.500 0.500 0.752 O
```

***

VASP calculation (SCAN) on Mg14ZnCdO16 at its PBEsol-relaxed geometry.

Summary:
As for the space group: P4/mmm, No. 123. The value obtained for the formation energy (no corrections) is -2.775 eV/atom.

Geometry as POSCAR:
```
Mg14ZnCdO16
1.0
-2.086 -3.472 1.357
3.688 0.774 7.649
-6.463 4.907 2.619
Mg Zn Cd O
14 1 1 16
direct
0.000 0.500 0.000 Mg
0.000 0.000 0.500 Mg
0.500 0.249 0.000 Mg
0.500 0.751 0.000 Mg
0.500 0.245 0.500 Mg
0.500 0.755 0.500 Mg
0.500 0.000 0.249 Mg
0.500 0.500 0.245 Mg
0.500 0.000 0.751 Mg
0.500 0.500 0.755 Mg
0.000 0.247 0.247 Mg
0.000 0.753 0.247 Mg
0.000 0.247 0.753 Mg
0.000 0.753 0.753 Mg
0.000 0.000 0.000 Zn
0.000 0.500 0.500 Cd
0.000 0.000 0.250 O
0.000 0.500 0.235 O
0.000 0.000 0.750 O
0.000 0.500 0.765 O
0.500 0.250 0.250 O
0.500 0.750 0.250 O
0.500 0.250 0.750 O
0.500 0.750 0.750 O
0.500 0.000 0.000 O
0.500 0.500 0.000 O
0.500 0.000 0.500 O
0.500 0.500 0.500 O
0.000 0.250 0.000 O
0.000 0.750 0.000 O
0.000 0.235 0.500 O
0.000 0.765 0.500 O
```

***

VASP calculation (SCAN) on Mg30ZnCdO32 at its PBEsol-relaxed geometry.

Summary:
As for the space group: P4/mmm, No. 123. The value obtained for the formation energy (no corrections) is -2.896 eV/atom.

Geometry as POSCAR:
```
Mg30ZnCdO32
1.0
8.477 0.000 0.000
0.000 8.486 0.000
0.000 0.000 8.486
Mg Zn Cd O
30 1 1 32
direct
0.000 0.500 0.000 Mg
0.500 0.500 0.000 Mg
0.000 0.000 0.500 Mg
0.500 0.000 0.500 Mg
0.000 0.500 0.500 Mg
0.500 0.500 0.500 Mg
0.247 0.252 0.000 Mg
0.753 0.252 0.000 Mg
0.247 0.748 0.000 Mg
0.753 0.748 0.000 Mg
0.250 0.250 0.500 Mg
0.750 0.250 0.500 Mg
0.250 0.750 0.500 Mg
0.750 0.750 0.500 Mg
0.247 0.000 0.252 Mg
0.753 0.000 0.252 Mg
0.250 0.500 0.250 Mg
0.750 0.500 0.250 Mg
0.247 0.000 0.748 Mg
0.753 0.000 0.748 Mg
0.250 0.500 0.750 Mg
0.750 0.500 0.750 Mg
0.000 0.250 0.250 Mg
0.500 0.252 0.252 Mg
0.000 0.750 0.250 Mg
0.500 0.748 0.252 Mg
0.000 0.250 0.750 Mg
0.500 0.252 0.748 Mg
0.000 0.750 0.750 Mg
0.500 0.748 0.748 Mg
0.000 0.000 0.000 Zn
0.500 0.000 0.000 Cd
0.000 0.000 0.256 O
0.500 0.000 0.263 O
0.000 0.500 0.251 O
0.500 0.500 0.252 O
0.000 0.000 0.744 O
0.500 0.000 0.737 O
0.000 0.500 0.749 O
0.500 0.500 0.748 O
0.250 0.249 0.249 O
0.750 0.249 0.249 O
0.250 0.751 0.249 O
0.750 0.751 0.249 O
0.250 0.249 0.751 O
0.750 0.249 0.751 O
0.250 0.751 0.751 O
0.750 0.751 0.751 O
0.237 0.000 0.000 O
0.763 0.000 0.000 O
0.249 0.500 0.000 O
0.751 0.500 0.000 O
0.249 0.000 0.500 O
0.751 0.000 0.500 O
0.250 0.500 0.500 O
0.750 0.500 0.500 O
0.000 0.256 0.000 O
0.500 0.263 0.000 O
0.000 0.744 0.000 O
0.500 0.737 0.000 O
0.000 0.251 0.500 O
0.500 0.252 0.500 O
0.000 0.749 0.500 O
0.500 0.748 0.500 O
```

***

VASP calculation (SCAN) on Mg14ZnCdO16 at its PBEsol-relaxed geometry.

Summary:
As for the space group: Pmmm, No. 47. The value obtained for the formation energy (no corrections) is -2.775 eV/atom.

Geometry as POSCAR:
```
Mg14ZnCdO16
1.0
-3.206 2.298 -1.644
-4.455 -1.078 7.179
3.456 7.119 3.213
Mg Zn Cd O
14 1 1 16
direct
0.000 0.000 0.500 Mg
0.000 0.500 0.500 Mg
0.500 0.756 0.000 Mg
0.500 0.244 0.000 Mg
0.500 0.751 0.500 Mg
0.500 0.249 0.500 Mg
0.500 0.000 0.750 Mg
0.500 0.500 0.745 Mg
0.500 0.000 0.250 Mg
0.500 0.500 0.255 Mg
0.000 0.753 0.747 Mg
0.000 0.247 0.747 Mg
0.000 0.753 0.253 Mg
0.000 0.247 0.253 Mg
0.000 0.000 0.000 Zn
0.000 0.500 0.000 Cd
0.000 0.000 0.743 O
0.000 0.500 0.735 O
0.000 0.000 0.257 O
0.000 0.500 0.265 O
0.500 0.750 0.751 O
0.500 0.250 0.751 O
0.500 0.750 0.249 O
0.500 0.250 0.249 O
0.500 0.000 0.000 O
0.500 0.500 0.000 O
0.500 0.000 0.500 O
0.500 0.500 0.500 O
0.000 0.764 0.000 O
0.000 0.236 0.000 O
0.000 0.752 0.500 O
0.000 0.248 0.500 O
```

***

VASP calculation (SCAN) on Mg2CdOs at its PBEsol-relaxed geometry.

Summary:
The energy relative to the elements is 0.117 eV per atom. As for the space group: P4/mmm, No. 123.

Geometry as POSCAR:
```
Mg2CdOs
1.0
-0.624 -1.966 -2.012
-0.180 -2.028 2.038
-8.349 1.687 0.941
Cd Mg Os
1 2 1
direct
0.500 0.500 0.500 Cd
0.000 0.000 0.783 Mg
0.000 0.000 0.217 Mg
0.500 0.500 0.000 Os
```

***

VASP calculation (SCAN) on MgCd2Os at its PBEsol-relaxed geometry.

Summary:
The energy relative to the elements is 0.279 eV per atom. As for the space group: P4/mmm, No. 123.

Geometry as POSCAR:
```
MgCd2Os
1.0
4.090 0.000 0.000
0.000 4.088 0.000
0.000 0.000 4.102
Cd Mg Os
2 1 1
direct
0.000 0.000 0.000 Cd
0.500 0.500 0.000 Cd
0.500 0.000 0.500 Mg
0.000 0.500 0.500 Os
```

***

VASP calculation (SCAN) on Mg2CdOs at its PBEsol-relaxed geometry.

Summary:
The energy relative to the elements is 0.300 eV per atom. As for the space group: R3m, No. 160.

Geometry as POSCAR:
```
Mg2CdOs
1.0
-1.390 -0.800 -2.447
1.534 -0.844 -2.344
-0.199 -9.682 1.530
Cd Mg Os
1 2 1
direct
0.245 0.245 0.266 Cd
0.999 0.999 0.003 Mg
0.758 0.758 0.725 Mg
0.498 0.498 0.506 Os
```

***

VASP calculation (SCAN) on MgCdOs2 at its PBEsol-relaxed geometry.

Summary:
The energy relative to the elements is 0.454 eV per atom. Its excess energy over the best structure of this formula in the dataset is 0.366 eV per atom. As for the space group: C2/m, No. 12.

Geometry as POSCAR:
```
MgCdOs2
1.0
-1.719 2.130 -0.156
-1.719 -2.269 -4.022
-1.369 -2.230 4.706
Cd Mg Os
1 1 2
direct
0.500 0.000 0.000 Cd
0.000 0.500 0.000 Mg
0.000 0.000 0.500 Os
0.500 0.500 0.500 Os
```

***

no.,total energy (eV/atom)
1,-9.114
2,-9.440
3,-9.030
4,-9.439
5,-27.943
6,-34.142
7,-27.760
8,-44.333